Here is crystalline Ba5Ag2AuO at its relaxed geometry from Alexandria. Energies are from GGA-PBE. Values from VASP.

Cell and atoms, written as Quantum ESPRESSO input:
```
&SYSTEM
  ibrav = 0, nat = 18, ntyp = 4
/
ATOMIC_SPECIES
Ag 107.87 Ag.upf
Ba 137.33 Ba.upf
Au 196.97 Au.upf
O 16.00 O.upf
CELL_PARAMETERS angstrom
4.663 0.000 0.000
-2.331 10.293 0.000
0.000 0.000 14.610
ATOMIC_POSITIONS crystal
Ag 0.113 0.226 0.686
Ag 0.867 0.735 0.841
Ag 0.133 0.265 0.341
Ba 0.660 0.320 0.517
Au 0.182 0.364 0.043
Ba 0.334 0.668 0.381
O 0.457 0.913 0.412
Ba 0.666 0.332 0.881
Ba 0.022 0.044 0.988
Ba 0.340 0.680 0.017
Ag 0.887 0.774 0.186
Ba 0.290 0.580 0.694
O 0.543 0.087 0.912
Ba 0.510 0.020 0.262
Ba 0.978 0.956 0.488
Ba 0.710 0.420 0.194
Au 0.818 0.636 0.543
Ba 0.490 0.980 0.762
```

**ΔE_f (raw)**: -0.803 eV per atom
**Size of the total moment**: 0.00 μB per cell
**Crystal system**: orthorhombic
**VASP energy**: -3.4202 eV per atom
**ρ**: 5.28 g/cm³
**Symmetry**: Cmc2_1, No. 36

Here is crystalline Y2TlTc2 at its relaxed geometry from Alexandria. Energies are from GGA-PBE. Values from VASP.

Cell and atoms, written as Quantum ESPRESSO input:
```
&SYSTEM
  ibrav = 0, nat = 10, ntyp = 3
/
ATOMIC_SPECIES
Tc 98.00 Tc.upf
Tl 204.38 Tl.upf
Y 88.91 Y.upf
CELL_PARAMETERS angstrom
7.067 0.000 0.000
0.000 7.067 0.000
0.000 0.000 4.554
ATOMIC_POSITIONS crystal
Tc 0.885 0.615 0.000
Tc 0.115 0.385 0.000
Tl 0.000 0.000 0.000
Y 0.176 0.676 0.500
Tc 0.615 0.115 0.000
Y 0.676 0.824 0.500
Y 0.324 0.176 0.500
Tc 0.385 0.885 0.000
Y 0.824 0.324 0.500
Tl 0.500 0.500 0.000
```

**Formation enthalpy at 0 K**: -0.032 eV per atom
**Size of the total moment**: 0.00 μB per cell
**Crystal system**: tetragonal
**VASP energy**: -7.2373 eV per atom
**ρ**: 8.44 g/cm³
**Symmetry**: P4/mbm, No. 127
**Distance to the lowest polymorph of the same formula**: 0 kJ/mol of formula units

Here is crystalline Sr2TlPb at its relaxed geometry from Alexandria. Energies are from GGA-PBE. Values from VASP.

Cell and atoms, written as Quantum ESPRESSO input:
```
&SYSTEM
  ibrav = 0, nat = 4, ntyp = 3
/
ATOMIC_SPECIES
Sr 87.62 Sr.upf
Tl 204.38 Tl.upf
Pb 207.20 Pb.upf
CELL_PARAMETERS angstrom
-2.320 3.395 -0.528
-0.764 0.110 4.073
7.331 5.201 1.234
ATOMIC_POSITIONS crystal
Sr 0.500 0.500 0.308
Tl 0.000 0.000 0.534
Pb 0.500 0.500 0.712
Sr 0.000 0.000 0.947
```

**Formation enthalpy at 0 K**: -0.232 eV per atom
**Size of the total moment**: 0.00 μB per cell
**Crystal system**: tetragonal
**VASP energy**: -2.5919 eV per atom
**ρ**: 6.25 g/cm³
**Symmetry**: P4mm, No. 99

Here is crystalline Ac14DyTm at its relaxed geometry from Alexandria. Energies are from GGA-PBE. Values from VASP.

Cell and atoms, written as Quantum ESPRESSO input:
```
&SYSTEM
  ibrav = 0, nat = 16, ntyp = 3
/
ATOMIC_SPECIES
Ac 227.00 Ac.upf
Tm 168.93 Tm.upf
Dy 162.50 Dy.upf
CELL_PARAMETERS angstrom
-4.461 -4.272 -4.856
5.233 1.082 -5.760
5.407 -9.253 3.173
ATOMIC_POSITIONS crystal
Ac 0.125 0.875 0.243
Ac 0.875 0.625 0.000
Ac 0.625 0.375 0.757
Tm 0.375 0.625 0.000
Ac 0.875 0.625 0.500
Ac 0.875 0.125 0.500
Ac 0.375 0.625 0.500
Dy 0.875 0.125 0.000
Ac 0.125 0.875 0.757
Ac 0.625 0.875 0.243
Ac 0.375 0.125 0.000
Ac 0.625 0.375 0.243
Ac 0.375 0.125 0.500
Ac 0.625 0.875 0.757
Ac 0.125 0.375 0.243
Ac 0.125 0.375 0.757
```

**Formation enthalpy at 0 K**: 0.032 eV per atom
**Size of the total moment**: 0.00 μB per cell
**Crystal system**: tetragonal
**VASP energy**: -4.1299 eV per atom
**ρ**: 8.45 g/cm³
**Symmetry**: P4/mmm, No. 123

Here is crystalline Rb2ZnBiO4 at its relaxed geometry from Alexandria. Energies are from GGA-PBE. Values from VASP.

Cell and atoms, written as Quantum ESPRESSO input:
```
&SYSTEM
  ibrav = 0, nat = 8, ntyp = 4
/
ATOMIC_SPECIES
Rb 85.47 Rb.upf
Bi 208.98 Bi.upf
Zn 65.41 Zn.upf
O 16.00 O.upf
CELL_PARAMETERS angstrom
-3.370 -0.068 -5.106
-1.666 -5.055 -2.499
-5.876 -0.020 0.213
ATOMIC_POSITIONS crystal
Rb 0.500 0.500 0.500
Rb 0.000 0.500 0.500
Bi 0.000 0.000 0.000
Zn 0.500 0.000 0.000
O 0.117 0.293 0.000
O 0.883 0.000 0.707
O 0.591 0.000 0.293
O 0.409 0.707 0.000
```

**ΔE_f (raw)**: -1.100 eV per atom
**Size of the total moment**: 0.96 μB per cell
**Crystal system**: tetragonal
**VASP energy**: -4.4656 eV per atom
**ρ**: 5.48 g/cm³
**Symmetry**: I-42m, No. 121

Here is crystalline Pm5Tm4Tl at its relaxed geometry from Alexandria. Energies are from GGA-PBE. Values from VASP.

Cell and atoms, written as Quantum ESPRESSO input:
```
&SYSTEM
  ibrav = 0, nat = 10, ntyp = 3
/
ATOMIC_SPECIES
Pm 145.00 Pm.upf
Tm 168.93 Tm.upf
Tl 204.38 Tl.upf
CELL_PARAMETERS angstrom
-3.311 0.756 5.207
3.248 -3.651 6.305
2.169 6.456 4.153
ATOMIC_POSITIONS crystal
Pm 0.818 0.382 0.911
Tm 0.106 0.305 0.403
Pm 0.639 0.000 0.000
Tm 0.411 0.403 0.695
Tl 0.169 0.000 0.000
Pm 0.112 0.618 0.089
Tm 0.509 0.597 0.305
Pm 0.730 0.089 0.382
Tm 0.814 0.695 0.597
Pm 0.201 0.911 0.618
```

**Formation enthalpy at 0 K**: 0.228 eV per atom
**Size of the total moment**: 0.00 μB per cell
**Crystal system**: tetragonal
**VASP energy**: -4.1723 eV per atom
**ρ**: 7.94 g/cm³
**Symmetry**: I4, No. 79
**Distance to the lowest polymorph of the same formula**: 262 kJ/mol of formula units